## FeSe2O5 (PBE with a Hubbard U)

Data for a relaxed structure of FeSe2O5.

Magnetic moment, μB/f.u.: 4.0
Energy, eV per atom: -5.652

abc: 6.917 10.694 6.308
angles: 90.00 90.00 90.00
Space group Pbcn (No. 60)
Unique sites:
Fe  0.000  0.061  0.250 [4 per cell]
Se  0.136  0.345  0.040 [8 per cell]
O  0.000  0.432  0.250 [4 per cell]
O  0.153  0.070  0.554 [8 per cell]
O  0.196  0.211  0.167 [8 per cell]